Material: CaNiTe
Method: DFT, PBE
State: relaxed

Geometry as CIF:
```
data_CaNiTe
_chemical_formula_sum 'Ca4 Ni4 Te4'
_space_group_name_H-M_alt 'I 41 m d'
_space_group_IT_number 109
_space_group_name_Hall 'I 4bw -2'
_cell_length_a 4.260
_cell_length_b 4.260
_cell_length_c 15.026
_cell_angle_alpha 90.00
_cell_angle_beta 90.00
_cell_angle_gamma 90.00
loop_
_atom_site_label
_atom_site_type_symbol
_atom_site_fract_x
_atom_site_fract_y
_atom_site_fract_z
_atom_site_occupancy
Ca1 Ca 0.000 0.000 0.000 1
Ni1 Ni 0.000 0.000 0.581 1
Te1 Te 0.000 0.000 0.415 1
```

Values from the calculation:
**Calculated total energy**: -4.450 eV per atom

***

Material: CaNiTe2
Method: DFT, PBE
State: relaxed

Geometry as CIF:
```
data_CaNiTe2
_chemical_formula_sum 'Ca4 Ni4 Te8'
_space_group_name_H-M_alt 'I -4 2 d'
_space_group_IT_number 122
_space_group_name_Hall 'I -4 2bw'
_cell_length_a 7.718
_cell_length_b 7.718
_cell_length_c 6.824
_cell_angle_alpha 90.00
_cell_angle_beta 90.00
_cell_angle_gamma 90.00
loop_
_atom_site_label
_atom_site_type_symbol
_atom_site_fract_x
_atom_site_fract_y
_atom_site_fract_z
_atom_site_occupancy
Ca1 Ca 0.000 0.000 0.000 1
Ni1 Ni 0.000 0.000 0.500 1
Te1 Te 0.174 0.250 0.625 1
```

Values from the calculation:
**Calculated total energy**: -4.222 eV per atom

***

Material: CaNiTe
Method: DFT, PBE
State: relaxed

Geometry as CIF:
```
data_CaNiTe
_chemical_formula_sum 'Ca2 Ni2 Te2'
_space_group_name_H-M_alt 'P 1 21 1'
_space_group_IT_number 4
_space_group_name_Hall 'P 2yb'
_cell_length_a 4.398
_cell_length_b 4.397
_cell_length_c 6.777
_cell_angle_alpha 90.00
_cell_angle_beta 90.02
_cell_angle_gamma 90.00
loop_
_atom_site_label
_atom_site_type_symbol
_atom_site_fract_x
_atom_site_fract_y
_atom_site_fract_z
_atom_site_occupancy
Ca1 Ca 0.250 0.000 0.200 1
Ni1 Ni 0.251 0.501 0.500 1
Te1 Te 0.249 0.000 0.720 1
```

Values from the calculation:
**Calculated total energy**: -4.376 eV per atom

***

Material: CaNiTe2
Method: DFT, PBE
State: relaxed

Geometry as CIF:
```
data_CaNiTe2
_chemical_formula_sum 'Ca1 Ni1 Te2'
_space_group_name_H-M_alt 'P 1 m 1'
_space_group_IT_number 6
_space_group_name_Hall 'P -2y'
_cell_length_a 4.311
_cell_length_b 4.108
_cell_length_c 6.822
_cell_angle_alpha 90.00
_cell_angle_beta 108.33
_cell_angle_gamma 90.00
loop_
_atom_site_label
_atom_site_type_symbol
_atom_site_fract_x
_atom_site_fract_y
_atom_site_fract_z
_atom_site_occupancy
Ca1 Ca 0.000 0.000 0.000 1
Ni1 Ni 0.404 0.500 0.806 1
Te1 Te 0.303 0.000 0.604 1
Te2 Te 0.591 0.500 0.184 1
```

Values from the calculation:
**Calculated total energy**: -4.160 eV per atom

***

The calculation returns the following E_form (uncorrected) values, one per record and in order: -0.808 -0.705 -0.735 -0.643 eV/atom.